No. 1
The following is a PBE calculation of a relaxed structure of Hf5Zn4Cu, from Alexandria.

Calculated values
For the calculated formation energy, the calculation gives -0.17 eV/atom. For the energy, the calculation gives -6.06 eV/atom. The total magnetization is 0.000 Bohr magnetons per cell.

a = 3.286 Å, b = 3.286 Å, c = 16.522 Å
α = 90.00°, β = 90.00°, γ = 90.00°
Space group P4/mmm (No. 123)
Unique sites:
Hf  0.000  0.000  0.000 [1 per cell]
Hf  0.000  0.000  0.201 [2 per cell]
Hf  0.000  0.000  0.403 [2 per cell]
Zn  0.500  0.500  0.101 [2 per cell]
Zn  0.500  0.500  0.303 [2 per cell]
Cu  0.500  0.500  0.500 [1 per cell]

***

No. 2
The following is a PBE calculation of a relaxed structure of HfZn3Cu, from Alexandria.

Calculated values
For the calculated formation energy, the calculation gives -0.12 eV/atom. For the energy, the calculation gives -3.70 eV/atom. The total magnetization is 0.000 Bohr magnetons per cell.

a = 8.428 Å, b = 3.314 Å, c = 11.321 Å
α = 90.00°, β = 90.00°, γ = 90.00°
Space group Pnma (No. 62)
Unique sites:
Hf  0.153  0.250  0.008 [4 per cell]
Zn  0.079  0.250  0.417 [4 per cell]
Zn  0.096  0.750  0.219 [4 per cell]
Zn  0.151  0.750  0.800 [4 per cell]
Cu  0.136  0.250  0.633 [4 per cell]

***

No. 3
The following is a PBE calculation of a relaxed structure of Hf3Zn2Cu, from Alexandria.

Calculated values
For the calculated formation energy, the calculation gives -0.15 eV/atom. For the energy, the calculation gives -6.24 eV/atom. The total magnetization is 0.000 Bohr magnetons per cell.

a = 3.248 Å, b = 3.248 Å, c = 10.061 Å
α = 90.00°, β = 90.00°, γ = 90.00°
Space group P4/mmm (No. 123)
Unique sites:
Hf  0.000  0.000  0.000 [1 per cell]
Hf  0.000  0.000  0.338 [2 per cell]
Zn  0.500  0.500  0.170 [2 per cell]
Cu  0.500  0.500  0.500 [1 per cell]